[1]
The following is a PBE calculation of Nd5TmMg6 after structural relaxation, from Alexandria via LeMat-Bulk.

**DOS at the Fermi energy**: 1.1277 states/eV per atom
**Energy of formation**: -1.22 eV/f.u.
**Electronic total energy**: -0.1197 hartree per atom
**ρ**: 4.97 g/cm3

```
Nd5TmMg6
1.0
5.176 -0.031 1.727
0.042 7.745 0.014
0.000 -0.016 8.640
Mg Tm Nd
6 1 5
direct
0.164 0.245 0.671 Mg
0.836 0.245 0.329 Mg
0.500 0.247 0.000 Mg
0.500 0.753 0.000 Mg
0.164 0.755 0.671 Mg
0.836 0.755 0.329 Mg
0.000 0.000 0.000 Tm
0.669 0.500 0.662 Nd
0.000 0.500 0.000 Nd
0.336 0.000 0.328 Nd
0.331 0.500 0.338 Nd
0.664 0.000 0.672 Nd
```

---

[2]
The following is a PBE calculation of NdTm3Mg4 after structural relaxation, from Alexandria via LeMat-Bulk.

**DOS at the Fermi energy**: 1.1594 states/eV per atom
**Energy of formation**: -0.56 eV/f.u.
**Electronic total energy**: -0.1154 hartree per atom
**ρ**: 5.73 g/cm3

```
NdTm3Mg4
1.0
5.340 0.000 0.000
0.000 7.601 0.000
0.000 0.000 10.682
Tm Mg Nd
6 8 2
direct
0.000 0.000 0.500 Tm
0.000 0.000 0.000 Tm
0.500 0.000 0.250 Tm
0.500 0.000 0.750 Tm
0.500 0.500 0.750 Tm
0.500 0.500 0.250 Tm
0.500 0.244 0.000 Mg
0.500 0.756 0.000 Mg
0.500 0.244 0.500 Mg
0.000 0.756 0.750 Mg
0.500 0.756 0.500 Mg
0.000 0.244 0.250 Mg
0.000 0.244 0.750 Mg
0.000 0.756 0.250 Mg
0.000 0.500 0.000 Nd
0.000 0.500 0.500 Nd
```

---

[3]
The following is a PBE calculation of NdTm2Mg after structural relaxation, from Alexandria via LeMat-Bulk.

**DOS at the Fermi energy**: 1.5754 states/eV per atom
**Energy of formation**: 0.23 eV/f.u.
**Electronic total energy**: -0.1385 hartree per atom
**ρ**: 6.99 g/cm3

```
NdTm2Mg
1.0
-3.186 1.427 0.298
-2.519 -0.833 -2.289
-5.137 -8.375 5.993
Tm Mg Nd
2 1 1
direct
0.086 0.086 0.743 Tm
0.247 0.247 0.258 Tm
0.500 0.500 0.500 Mg
0.667 0.667 0.999 Nd
```

---

[4]
The following is a PBE calculation of Nd12Tm6Mg after structural relaxation, from Alexandria via LeMat-Bulk.

**DOS at the Fermi energy**: 1.6873 states/eV per atom
**Energy of formation**: 2.30 eV/f.u.
**Electronic total energy**: -0.1612 hartree per atom
**ρ**: 7.16 g/cm3

```
Nd12Tm6Mg
1.0
8.558 0.702 0.841
-0.604 8.566 0.841
-0.604 -0.704 8.578
Nd Tm Mg
12 6 1
direct
0.785 0.538 0.431 Nd
0.215 0.462 0.569 Nd
0.569 0.215 0.462 Nd
0.182 0.365 0.016 Nd
0.818 0.635 0.984 Nd
0.635 0.984 0.818 Nd
0.016 0.182 0.365 Nd
0.462 0.569 0.215 Nd
0.365 0.016 0.182 Nd
0.431 0.785 0.538 Nd
0.538 0.431 0.785 Nd
0.984 0.818 0.635 Nd
0.286 0.741 0.899 Tm
0.714 0.259 0.101 Tm
0.101 0.714 0.259 Tm
0.741 0.899 0.286 Tm
0.259 0.101 0.714 Tm
0.899 0.286 0.741 Tm
0.000 0.000 0.000 Mg
```

---

- Number 4 is which compound?
  Nd12Tm6Mg

---

- What is the energy of formation in the second record?
  -0.56 eV/f.u.

---

- Which of these has the lowest electronic total energy?
  Nd12Tm6Mg

---

- Among the records above, which one has the lowest ρ?
  Nd5TmMg6